Version one
The following is a PBE-GGA calculation of a geometry-optimized TiTcCl2 structure, from the Alexandria database.

Lattice parameters (Å, degrees): 3.0174 3.0174 24.5807 90.00 90.00 120.00
Space group R-3m (No. 166, hexagonal axes)
One atom of each set of equivalent atoms:
1 Ti 0.0000 0.0000 0.0000 (multiplicity 3)
2 Tc 0.0000 0.0000 0.5000 (multiplicity 3)
3 Cl 0.0000 0.0000 0.4037 (multiplicity 6)

Theoretical density: 5.6 g/cm3
Total magnetic moment: 0.2773 μB per atom

=====

Version two
The following is a PBE-GGA calculation of a geometry-optimized TiTcCl2 structure, from the Alexandria database.

Lattice parameters (Å, degrees): 5.4690 5.4690 10.2924 90.00 90.00 90.00
Space group I-42d (No. 122)
One atom of each set of equivalent atoms:
1 Ti 0.0000 0.0000 0.0000 (multiplicity 4)
2 Tc 0.0000 0.0000 0.5000 (multiplicity 4)
3 Cl 0.2474 0.2500 0.6250 (multiplicity 8)

Theoretical density: 4.7 g/cm3
Total magnetic moment: 0.0005 μB per atom

=====

Which structure is the most stable? The one labeled version one.

=====

Version one
The following is a PBE-GGA calculation of a geometry-optimized TlTc2Cl structure, from the Alexandria database.

Lattice parameters (Å, degrees): 2.9815 2.9815 8.6382 90.00 90.00 90.00
Space group P4mm (No. 99)
One atom of each set of equivalent atoms:
1 Tl 0.0000 0.0000 0.0000 (multiplicity 1)
2 Tc 0.0000 0.0000 0.5666 (multiplicity 1)
3 Tc 0.5000 0.5000 0.7437 (multiplicity 1)
4 Cl 0.5000 0.5000 0.3634 (multiplicity 1)

Theoretical density: 9.4 g/cm3
Total magnetic moment: 0.0000 μB per atom

=====

Version two
The following is a PBE-GGA calculation of a geometry-optimized TlTc2Cl structure, from the Alexandria database.

Lattice parameters (Å, degrees): 4.1378 4.1378 4.5321 90.00 90.00 90.00
Space group P4/mmm (No. 123)
One atom of each set of equivalent atoms:
1 Tl 0.0000 0.0000 0.0000 (multiplicity 1)
2 Tc 0.0000 0.5000 0.5000 (multiplicity 2)
3 Cl 0.5000 0.5000 0.0000 (multiplicity 1)

Theoretical density: 9.3 g/cm3
Total magnetic moment: 1.2409 μB per atom

=====

Version three
The following is a PBE-GGA calculation of a geometry-optimized TlTc2Cl structure, from the Alexandria database.

Lattice parameters (Å, degrees): 6.6121 6.6121 6.6121 90.00 90.00 90.00
Space group F-43m (No. 216)
One atom of each set of equivalent atoms:
1 Tl 0.0000 0.0000 0.0000 (multiplicity 4)
2 Tc 0.0000 0.0000 0.5000 (multiplicity 4)
3 Tc 0.2500 0.2500 0.2500 (multiplicity 4)
4 Cl 0.2500 0.2500 0.7500 (multiplicity 4)

Theoretical density: 10.0 g/cm3
Total magnetic moment: 0.4077 μB per atom

=====

Version four
The following is a PBE-GGA calculation of a geometry-optimized TlTc2Cl structure, from the Alexandria database.

Lattice parameters (Å, degrees): 4.6434 4.6434 3.1948 90.00 90.00 90.00
Space group P4/mmm (No. 123)
One atom of each set of equivalent atoms:
1 Tl 0.0000 0.0000 0.0000 (multiplicity 1)
2 Tc 0.0000 0.5000 0.5000 (multiplicity 2)
3 Cl 0.5000 0.5000 0.0000 (multiplicity 1)

Theoretical density: 10.5 g/cm3
Total magnetic moment: 0.4231 μB per atom

=====

Which structure is the most stable? The one labeled version one.

=====

Version one
The following is a PBE-GGA calculation of a geometry-optimized TlTcCl3 structure, from the Alexandria database.

Lattice parameters (Å, degrees): 5.0212 5.0212 5.0212 90.00 90.00 90.00
Space group Pm-3m (No. 221)
One atom of each set of equivalent atoms:
1 Tl 0.0000 0.0000 0.0000 (multiplicity 1)
2 Tc 0.5000 0.5000 0.5000 (multiplicity 1)
3 Cl 0.0000 0.5000 0.5000 (multiplicity 3)

Theoretical density: 5.4 g/cm3
Total magnetic moment: 0.6072 μB per atom

=====

Version two
The following is a PBE-GGA calculation of a geometry-optimized TlTcCl3 structure, from the Alexandria database.

Lattice parameters (Å, degrees): 5.4778 5.4778 5.4778 90.00 90.00 90.00
Space group Pm-3m (No. 221)
One atom of each set of equivalent atoms:
1 Tl 0.0000 0.0000 0.0000 (multiplicity 1)
2 Tc 0.5000 0.5000 0.5000 (multiplicity 1)
3 Cl 0.0000 0.0000 0.5000 (multiplicity 3)

Theoretical density: 4.1 g/cm3
Total magnetic moment: 1.1614 μB per atom

=====

Which structure is the most stable? The one labeled version one.

=====

Version one
The following is a PBE-GGA calculation of a geometry-optimized TlTcCl structure, from the Alexandria database.

Lattice parameters (Å, degrees): 3.0409 5.4700 15.9576 90.00 90.00 90.00
Space group Fmm2 (No. 42)
One atom of each set of equivalent atoms:
1 Tl 0.0000 0.0000 0.0000 (multiplicity 4)
2 Tc 0.0000 0.0000 0.3370 (multiplicity 4)
3 Cl 0.0000 0.0000 0.7251 (multiplicity 4)

Theoretical density: 8.5 g/cm3
Total magnetic moment: 0.0000 μB per atom

=====

Version two
The following is a PBE-GGA calculation of a geometry-optimized TlTcCl structure, from the Alexandria database.

Lattice parameters (Å, degrees): 4.6308 4.6308 3.3073 90.00 90.00 120.00
Space group P-6m2 (No. 187)
One atom of each set of equivalent atoms:
1 Tl 0.0000 0.0000 0.0000 (multiplicity 1)
2 Tc 0.3333 0.6667 0.5000 (multiplicity 1)
3 Cl 0.6667 0.3333 0.5000 (multiplicity 1)

Theoretical density: 9.1 g/cm3
Total magnetic moment: 0.8261 μB per atom

=====

Which structure is the most stable? The one labeled version one.

=====

Version one
The following is a PBE-GGA calculation of a geometry-optimized TlTcCl structure, from the Alexandria database.

Lattice parameters (Å, degrees): 3.2069 3.2069 7.6702 90.00 90.00 120.00
Space group P3m1 (No. 156)
One atom of each set of equivalent atoms:
1 Tl 0.0000 0.0000 0.0000 (multiplicity 1)
2 Tc 0.3333 0.6667 0.6728 (multiplicity 1)
3 Cl 0.6667 0.3333 0.4830 (multiplicity 1)

Theoretical density: 8.2 g/cm3
Total magnetic moment: 0.0001 μB per atom

=====

Version two
The following is a PBE-GGA calculation of a geometry-optimized TlTcCl structure, from the Alexandria database.

Lattice parameters (Å, degrees): 6.6201 6.6201 6.6201 90.00 90.00 90.00
Space group F-43m (No. 216)
One atom of each set of equivalent atoms:
1 Tl 0.0000 0.0000 0.0000 (multiplicity 4)
2 Tc 0.2500 0.2500 0.7500 (multiplicity 4)
3 Cl 0.0000 0.0000 0.5000 (multiplicity 4)

Theoretical density: 7.7 g/cm3
Total magnetic moment: 0.9232 μB per atom

=====

Version three
The following is a PBE-GGA calculation of a geometry-optimized TlTcCl structure, from the Alexandria database.

Lattice parameters (Å, degrees): 3.1968 3.1968 13.0122 90.00 90.00 90.00
Space group I4mm (No. 107)
One atom of each set of equivalent atoms:
1 Tl 0.0000 0.0000 0.0000 (multiplicity 2)
2 Tc 0.0000 0.0000 0.3484 (multiplicity 2)
3 Cl 0.0000 0.0000 0.7275 (multiplicity 2)

Theoretical density: 8.4 g/cm3
Total magnetic moment: 0.9645 μB per atom

=====

Which structure is the most stable? The one labeled version one.

=====

Version one
The following is a PBE-GGA calculation of a geometry-optimized Tl2TcCl structure, from the Alexandria database.

Lattice parameters (Å, degrees): 3.1181 4.6506 14.7472 90.00 90.00 90.00
Space group Imm2 (No. 44)
One atom of each set of equivalent atoms:
1 Tl 0.0000 0.0000 0.0000 (multiplicity 2)
2 Tl 0.0000 0.5000 0.1663 (multiplicity 2)
3 Tc 0.0000 0.0000 0.4626 (multiplicity 2)
4 Cl 0.0000 0.5000 0.8389 (multiplicity 2)

Theoretical density: 8.4 g/cm3
Total magnetic moment: 0.1215 μB per atom

=====

Version two
The following is a PBE-GGA calculation of a geometry-optimized Tl2TcCl structure, from the Alexandria database.

Lattice parameters (Å, degrees): 3.3101 4.9681 6.2417 90.00 90.00 90.00
Space group Pmmm (No. 47)
One atom of each set of equivalent atoms:
1 Tl 0.0000 0.0000 0.0000 (multiplicity 1)
2 Tl 0.5000 0.0000 0.5000 (multiplicity 1)
3 Tc 0.0000 0.5000 0.5000 (multiplicity 1)
4 Cl 0.5000 0.5000 0.0000 (multiplicity 1)

Theoretical density: 8.8 g/cm3
Total magnetic moment: 0.7392 μB per atom

=====

Version three
The following is a PBE-GGA calculation of a geometry-optimized Tl2TcCl structure, from the Alexandria database.

Lattice parameters (Å, degrees): 4.1751 4.1751 11.9590 90.00 90.00 90.00
Space group I-4m2 (No. 119)
One atom of each set of equivalent atoms:
1 Tl 0.0000 0.0000 0.0000 (multiplicity 2)
2 Tl 0.0000 0.5000 0.2500 (multiplicity 2)
3 Tc 0.0000 0.0000 0.5000 (multiplicity 2)
4 Cl 0.0000 0.5000 0.7500 (multiplicity 2)

Theoretical density: 8.6 g/cm3
Total magnetic moment: 0.7719 μB per atom

=====

Version four
The following is a PBE-GGA calculation of a geometry-optimized Tl2TcCl structure, from the Alexandria database.

Lattice parameters (Å, degrees): 3.4032 3.3056 8.2441 90.00 90.29 90.00
Space group P2/m (No. 10)
One atom of each set of equivalent atoms:
1 Tl 0.0029 0.0000 0.2080 (multiplicity 2)
2 Tc 0.5000 0.5000 0.0000 (multiplicity 1)
3 Cl 0.0000 0.5000 0.5000 (multiplicity 1)

Theoretical density: 9.7 g/cm3
Total magnetic moment: 0.3271 μB per atom

=====

Which structure is the most stable? The one labeled version one.

=====

Version one
The following is a PBE-GGA calculation of a geometry-optimized Tl2TcCl structure, from the Alexandria database.

Lattice parameters (Å, degrees): 7.4050 7.4050 7.4050 90.00 90.00 90.00
Space group Fm-3m (No. 225)
One atom of each set of equivalent atoms:
1 Tl 0.2500 0.2500 0.2500 (multiplicity 8)
2 Tc 0.0000 0.0000 0.0000 (multiplicity 4)
3 Cl 0.0000 0.0000 0.5000 (multiplicity 4)

Theoretical density: 8.9 g/cm3
Total magnetic moment: 0.8787 μB per atom

=====

Version two
The following is a PBE-GGA calculation of a geometry-optimized Tl2TcCl structure, from the Alexandria database.

Lattice parameters (Å, degrees): 5.3388 5.3388 3.1856 90.00 90.00 90.00
Space group P4/mmm (No. 123)
One atom of each set of equivalent atoms:
1 Tl 0.0000 0.5000 0.0000 (multiplicity 2)
2 Tc 0.0000 0.0000 0.5000 (multiplicity 1)
3 Cl 0.5000 0.5000 0.5000 (multiplicity 1)

Theoretical density: 9.9 g/cm3
Total magnetic moment: 0.6188 μB per atom

=====

Version three
The following is a PBE-GGA calculation of a geometry-optimized Tl2TcCl structure, from the Alexandria database.

Lattice parameters (Å, degrees): 3.4922 3.4922 26.1214 90.00 90.00 120.00
Space group R-3m (No. 166, hexagonal axes)
One atom of each set of equivalent atoms:
1 Tl 0.0000 0.0000 0.2446 (multiplicity 6)
2 Tc 0.0000 0.0000 0.5000 (multiplicity 3)
3 Cl 0.0000 0.0000 0.0000 (multiplicity 3)

Theoretical density: 9.8 g/cm3
Total magnetic moment: 0.4726 μB per atom

=====

Which structure is the most stable? The one labeled version two.

=====

Version one
The following is a PBE-GGA calculation of a geometry-optimized Tl3TcCl structure, from the Alexandria database.

Lattice parameters (Å, degrees): 5.7083 5.7083 5.7083 90.00 90.00 90.00
Space group Pm-3m (No. 221)
One atom of each set of equivalent atoms:
1 Tl 0.0000 0.0000 0.5000 (multiplicity 3)
2 Tc 0.5000 0.5000 0.5000 (multiplicity 1)
3 Cl 0.0000 0.0000 0.0000 (multiplicity 1)

Theoretical density: 6.7 g/cm3
Total magnetic moment: 0.7215 μB per atom

=====

Version two
The following is a PBE-GGA calculation of a geometry-optimized Tl3TcCl structure, from the Alexandria database.

Lattice parameters (Å, degrees): 5.3578 5.3578 5.3578 90.00 90.00 90.00
Space group Pm-3m (No. 221)
One atom of each set of equivalent atoms:
1 Tl 0.0000 0.0000 0.5000 (multiplicity 3)
2 Tc 0.0000 0.0000 0.0000 (multiplicity 1)
3 Cl 0.5000 0.5000 0.5000 (multiplicity 1)

Theoretical density: 8.1 g/cm3
Total magnetic moment: 0.1453 μB per atom

=====

Which structure is the most stable? The one labeled version two.